VASP calculation (PBE) on an optimized crystal structure of ScTl2AgCl6.

Summary:
- Total moment: 0.00 μB per cell
- Energy relative to the elements, uncorrected: -1.360 eV per atom

Cell: 7.2683 7.4679 10.2176 Å, 90.00 89.74 90.00°
Fractional positions:
Sc: 0.5000 0.0000 0.5000
Sc: 0.0000 0.5000 0.0000
Tl: 0.0146 0.9419 0.2510
Tl: 0.5146 0.5581 0.7510
Tl: 0.9854 0.0581 0.7490
Tl: 0.4854 0.4419 0.2490
Ag: 0.5000 0.0000 0.0000
Ag: 0.0000 0.5000 0.5000
Cl: 0.2771 0.6935 0.0365
Cl: 0.7771 0.8065 0.5365
Cl: 0.7229 0.3065 0.9635
Cl: 0.2229 0.1935 0.4635
Cl: 0.3081 0.7247 0.4639
Cl: 0.8081 0.7753 0.9639
Cl: 0.6919 0.2753 0.5361
Cl: 0.1919 0.2247 0.0361
Cl: 0.9266 0.5122 0.2406
Cl: 0.4266 0.9878 0.7406
Cl: 0.0734 0.4878 0.7594
Cl: 0.5734 0.0122 0.2594